MnSb2Pd6 | the Alexandria database | PBE | optimized geometry; offset from the most stable computed form = 0.000 eV/atom; ΔE_f (raw) = -357 meV per atom
1.0
-2.644 3.025 1.441
-0.622 -4.442 1.863
4.219 0.268 7.181
Pd Sb Mn
6 2 1
Direct
0.652 0.305 0.587 Pd
0.001 0.002 0.819 Pd
0.999 0.998 0.181 Pd
0.665 0.330 0.935 Pd
0.348 0.695 0.413 Pd
0.335 0.670 0.065 Pd
0.679 0.359 0.253 Sb
0.321 0.641 0.747 Sb
0.000 0.000 0.500 Mn

=====

La4DyHo2 | the Alexandria database | PBE | optimized geometry; offset from the most stable computed form = 0.154 eV/atom; formation energy from the elements = 0.23 eV/atom
1.0
6.966 0.000 0.000
3.483 8.310 -1.189
3.483 1.581 8.244
La Ho Dy
8 4 2
Direct
0.774 0.758 0.258 La
0.847 0.652 0.654 La
0.153 0.846 0.848 La
0.210 0.758 0.258 La
0.790 0.242 0.742 La
0.226 0.242 0.742 La
0.847 0.154 0.152 La
0.153 0.348 0.346 La
0.715 0.035 0.535 Ho
0.285 0.965 0.465 Ho
0.500 0.500 0.500 Ho
0.500 0.000 0.000 Ho
0.000 0.500 0.000 Dy
0.500 0.500 0.000 Dy

=====

SmPuSc2Te4 | the Alexandria database | PBE | optimized geometry; ΔE_f (raw) = -1179 meV per atom
1.0
4.264 0.000 0.000
0.000 7.445 0.156
0.000 -2.579 7.024
Te Sc Sm Pu
4 2 1 1
Direct
0.500 0.258 0.271 Te
0.500 0.742 0.729 Te
0.000 0.244 0.730 Te
0.000 0.756 0.270 Te
0.000 0.500 0.500 Sc
0.500 0.000 0.500 Sc
0.000 0.000 0.000 Sm
0.500 0.500 0.000 Pu

=====

Hg2AsSe2 | the Alexandria database | PBE | optimized geometry; ΔE_f (raw) = 151 meV per atom
1.0
-3.315 6.560 2.569
-4.470 0.236 -6.371
-3.036 -2.335 2.044
Hg As Se
4 2 4
Direct
0.377 0.123 0.500 Hg
0.123 0.623 0.500 Hg
0.623 0.877 0.500 Hg
0.877 0.377 0.500 Hg
0.500 0.500 0.000 As
0.000 0.000 0.000 As
0.727 0.227 0.000 Se
0.273 0.773 0.000 Se
0.227 0.273 0.000 Se
0.773 0.727 0.000 Se

=====

Zr6Tl3Ru | the Alexandria database | PBE | optimized geometry; formation energy from the elements = 0.11 eV/atom
1.0
7.660 -1.344 -0.949
2.553 5.433 0.271
2.553 2.071 5.030
Ru Tl Zr
1 3 6
Direct
0.500 0.500 0.500 Ru
0.307 0.122 0.122 Tl
0.000 0.000 0.000 Tl
0.693 0.878 0.878 Tl
0.918 0.367 0.367 Zr
0.326 0.606 0.117 Zr
0.326 0.117 0.606 Zr
0.082 0.633 0.633 Zr
0.674 0.883 0.394 Zr
0.674 0.394 0.883 Zr

=====

ErLuRu2 | the Alexandria database | PBE | optimized geometry; formation energy from the elements = -0.43 eV/atom
1.0
3.349 0.000 0.000
0.000 3.349 0.000
0.000 0.000 6.700
Ru Er Lu
2 1 1
Direct
0.000 0.000 0.753 Ru
0.000 0.000 0.247 Ru
0.500 0.500 0.500 Er
0.500 0.500 0.000 Lu

=====

PuNpOs2 | the Alexandria database | PBE | optimized geometry; offset from the most stable computed form = 0.000 eV/atom; formation energy from the elements = 0.10 eV/atom
1.0
-2.453 0.137 2.108
-1.866 -1.653 -2.065
2.243 -6.306 3.022
Os Np Pu
2 1 1
Direct
0.000 0.000 0.759 Os
0.000 0.000 0.241 Os
0.500 0.500 0.000 Np
0.500 0.500 0.500 Pu

=====

MoPt7Rh4 | the Alexandria database | PBE | optimized geometry; formation energy from the elements = -0.13 eV/atom
1.0
5.510 0.373 0.526
3.538 7.385 1.426
-0.508 0.892 4.703
Rh Pt Mo
4 7 1
Direct
0.249 0.337 0.168 Rh
0.751 0.663 0.832 Rh
0.505 0.329 0.667 Rh
0.495 0.671 0.333 Rh
0.500 0.000 0.000 Pt
0.997 0.671 0.327 Pt
0.252 0.667 0.839 Pt
0.753 0.000 0.501 Pt
0.748 0.333 0.161 Pt
0.003 0.329 0.673 Pt
0.247 0.000 0.499 Pt
0.000 0.000 0.000 Mo

=====

| no. | total energy (eV per atom) |
| --- | --- |
| 1 | -5.75 |
| 2 | -4.56 |
| 3 | -6.71 |
| 4 | -2.29 |
| 5 | -6.66 |
| 6 | -7.34 |
| 7 | -12.34 |
| 8 | -7.00 |